The following is a DFT calculation (PBE) of a relaxed NaNpCd2O6 crystal.

Results
For the magnetic moment, the calculation gives 0.00 μB per formula unit. For the uncorrected formation energy, the calculation gives -1.826 eV/atom.

a b c (Å): 5.7270 5.7268 6.0988
angles (deg): 61.99 61.99 59.99
With the nearest neighbours (Å) after each atom.
Positions (direct):
Na 0.8107 0.8107 0.5678  6 O 2.33-2.53
Np 0.3235 0.3235 0.0295  6 O 2.03-2.05
Cd 0.5329 0.5329 0.4012  6 O 2.26-2.52
Cd 0.0218 0.0220 0.9344  6 O 2.25-2.49
O 0.5647 0.2280 0.2442  1 Np 2.05, 1 Cd 2.26
O 0.2280 0.9630 0.2443  1 Np 2.05, 1 Cd 2.26
O 0.9630 0.5647 0.2443  1 Np 2.05, 1 Cd 2.26
O 0.4127 0.6802 0.7832  1 Np 2.03, 1 Cd 2.25
O 0.6803 0.1239 0.7831  1 Np 2.03, 1 Cd 2.25
O 0.1240 0.4127 0.7831  1 Np 2.03, 1 Cd 2.25